YIn5 (PBE-GGA, relaxed); space group = Cm; total DFT energy (no corrections) = -3.505 eV per atom; ΔH_f (0 K) = -0.146 eV per atom
1.0
6.146 -1.759 0.000
6.146 1.759 0.000
-2.021 0.000 7.384
Y In
1 5
direct
0.000 0.000 0.000 Y
0.282 0.282 0.061 In
0.331 0.331 0.656 In
0.616 0.616 0.732 In
0.663 0.663 0.336 In
0.948 0.948 0.401 In